A plane-wave DFT calculation with PBE was carried out for a geometry-optimized CePrSc2In4 structure.

Properties
E_tot = -0.1724 hartree per atom
total moment = 2.8 μB per cell
formation energy = -0.399 eV/atom

```
data_CePrSc2In4
_cell_length_a 5.2775
_cell_length_b 5.2775
_cell_length_c 25.9218
_cell_angle_alpha 90.00
_cell_angle_beta 90.00
_cell_angle_gamma 120.00
_symmetry_space_group_name_H-M 'R -3 m'
_symmetry_Int_Tables_number 166
_symmetry_space_group_name_Hall '-R 3 2"'
loop_
_atom_site_label
_atom_site_fract_x
_atom_site_fract_y
_atom_site_fract_z
Ce1 0.0000 0.0000 0.0000
Pr1 0.0000 0.0000 0.5000
Sc1 0.0000 0.0000 0.2502
In1 0.0000 0.0000 0.1246
In2 0.0000 0.0000 0.3746
```


A plane-wave DFT calculation with PBE was carried out for a geometry-optimized TiV2H4 structure.

Properties
E_tot = -0.2179 hartree per atom
total moment = 0.0 μB per cell
energy above the lowest structure with this stoichiometry = 0.00 kJ/mol of atoms

```
data_TiV2H4
_cell_length_a 7.5983
_cell_length_b 7.6369
_cell_length_c 5.3773
_cell_angle_alpha 90.00
_cell_angle_beta 134.87
_cell_angle_gamma 90.00
_symmetry_space_group_name_H-M 'C 1 2/c 1'
_symmetry_Int_Tables_number 15
loop_
_symmetry_equiv_pos_as_xyz
'x,y,z'
'-x,-y,-z'
'-x,y,-z+1/2'
'x,-y,z+1/2'
'x+1/2,y+1/2,z'
'-x+1/2,-y+1/2,-z'
'-x+1/2,y+1/2,-z+1/2'
'x+1/2,-y+1/2,z+1/2'
loop_
_atom_site_label
_atom_site_fract_x
_atom_site_fract_y
_atom_site_fract_z
Ti1 0.0000 0.1239 0.2500
V1 0.0000 0.5000 0.0000
V2 0.2500 0.2500 0.0000
H1 0.0006 0.2647 0.5283
H2 0.2217 0.4851 0.9710
```


A plane-wave DFT calculation with PBE was carried out for a geometry-optimized AcZrTe2O structure.

Properties
E_tot = -0.2432 hartree per atom
total moment = 0.0 μB per cell
formation energy (no corrections) = -9.19 eV per formula unit

```
data_AcZrTe2O
_cell_length_a 4.1852
_cell_length_b 4.1852
_cell_length_c 15.0173
_cell_angle_alpha 90.00
_cell_angle_beta 90.00
_cell_angle_gamma 90.00
_symmetry_space_group_name_H-M 'P 4/n m m'
_symmetry_Int_Tables_number 129
loop_
_symmetry_equiv_pos_as_xyz
'x,y,z'
'-x,-y,-z'
'-y+1/2,x,z'
'y+1/2,-x,-z'
'-x+1/2,-y+1/2,z'
'x+1/2,y+1/2,-z'
'y,-x+1/2,z'
'-y,x+1/2,-z'
'x+1/2,-y,-z'
'-x+1/2,y,z'
'-y,-x,-z'
'y,x,z'
'-x,y+1/2,-z'
'x,-y+1/2,z'
'y+1/2,x+1/2,-z'
'-y+1/2,-x+1/2,z'
loop_
_atom_site_label
_atom_site_fract_x
_atom_site_fract_y
_atom_site_fract_z
Ac1 0.2500 0.2500 0.0870
Zr1 0.2500 0.2500 0.5838
Te1 0.2500 0.2500 0.3870
Te2 0.2500 0.2500 0.7766
O1 0.2500 0.7500 0.0000
```


A plane-wave DFT calculation with PBE was carried out for a geometry-optimized La2Ir structure.

Properties
E_tot = -0.2461 hartree per atom
total moment = 0.0 μB per cell
formation energy = -0.459 eV/atom

```
data_La2Ir
_cell_length_a 3.9501
_cell_length_b 14.5993
_cell_length_c 5.8187
_cell_angle_alpha 90.00
_cell_angle_beta 90.00
_cell_angle_gamma 90.00
_symmetry_space_group_name_H-M 'C m c m'
_symmetry_Int_Tables_number 63
_symmetry_space_group_name_Hall '-C 2c 2'
loop_
_atom_site_label
_atom_site_fract_x
_atom_site_fract_y
_atom_site_fract_z
La1 0.0000 0.0490 0.2500
La2 0.0000 0.2287 0.7500
Ir1 0.0000 0.4032 0.2500
```


A plane-wave DFT calculation with PBE was carried out for a geometry-optimized Hf3AlGa2 structure.

Properties
E_tot = -0.2504 hartree per atom
total moment = 0.0 μB per cell
energy above the lowest structure with this stoichiometry = 19.80 kJ/mol of atoms
formation energy = -0.203 eV/atom

```
data_Hf3AlGa2
_cell_length_a 5.4333
_cell_length_b 9.1623
_cell_length_c 9.5444
_cell_angle_alpha 90.00
_cell_angle_beta 99.20
_cell_angle_gamma 90.00
_symmetry_space_group_name_H-M 'C 1 2/m 1'
_symmetry_Int_Tables_number 12
loop_
_symmetry_equiv_pos_as_xyz
'x,y,z'
'-x,-y,-z'
'-x,y,-z'
'x,-y,z'
'x+1/2,y+1/2,z'
'-x+1/2,-y+1/2,-z'
'-x+1/2,y+1/2,-z'
'x+1/2,-y+1/2,z'
loop_
_atom_site_label
_atom_site_fract_x
_atom_site_fract_y
_atom_site_fract_z
Hf1 0.2473 0.0000 0.2478
Hf2 0.2498 0.1658 0.7522
Al1 0.0000 0.3331 0.5000
Ga1 0.0000 0.0000 0.5000
Ga2 0.0000 0.1678 0.0000
Ga3 0.0000 0.5000 0.0000
```


A plane-wave DFT calculation with PBE was carried out for a geometry-optimized Ho3SnRh2 structure.

Properties
E_tot = -0.2266 hartree per atom
total moment = 0.0 μB per cell
energy above the lowest structure with this stoichiometry = 5.50 kJ/mol of atoms
formation energy = -0.761 eV/atom

```
data_Ho3SnRh2
_cell_length_a 5.0911
_cell_length_b 14.6743
_cell_length_c 3.5281
_cell_angle_alpha 90.00
_cell_angle_beta 90.00
_cell_angle_gamma 90.00
_symmetry_space_group_name_H-M 'C m m m'
_symmetry_Int_Tables_number 65
_symmetry_space_group_name_Hall '-C 2 2'
loop_
_atom_site_label
_atom_site_fract_x
_atom_site_fract_y
_atom_site_fract_z
Ho1 0.0000 0.0000 0.0000
Ho2 0.0000 0.3191 0.0000
Sn1 0.0000 0.5000 0.5000
Rh1 0.0000 0.1594 0.5000
```


A plane-wave DFT calculation with PBE was carried out for a geometry-optimized Mg2BePt9 structure.

Properties
E_tot = -0.2057 hartree per atom
total moment = 0.0 μB per cell
formation energy = -0.490 eV/atom

```
data_Mg2BePt9
_cell_length_a 3.9320
_cell_length_b 3.9320
_cell_length_c 11.7421
_cell_angle_alpha 90.00
_cell_angle_beta 90.00
_cell_angle_gamma 90.00
_symmetry_space_group_name_H-M 'P 4/m m m'
_symmetry_Int_Tables_number 123
_symmetry_space_group_name_Hall '-P 4 2'
loop_
_atom_site_label
_atom_site_fract_x
_atom_site_fract_y
_atom_site_fract_z
Mg1 0.0000 0.0000 0.1712
Be1 0.0000 0.0000 0.5000
Pt1 0.0000 0.5000 0.0000
Pt2 0.0000 0.5000 0.3431
Pt3 0.5000 0.5000 0.1710
Pt4 0.5000 0.5000 0.5000
```


A plane-wave DFT calculation with PBE was carried out for a geometry-optimized YEr3Tm4 structure.

Properties
E_tot = -0.1748 hartree per atom
total moment = 0.0 μB per cell
energy above the lowest structure with this stoichiometry = 0.00 kJ/mol of atoms
formation energy = -0.002 eV/atom

```
data_YEr3Tm4
_cell_length_a 11.0930
_cell_length_b 7.1723
_cell_length_c 6.1986
_cell_angle_alpha 90.00
_cell_angle_beta 90.00
_cell_angle_gamma 90.00
_symmetry_space_group_name_H-M 'P m n 21'
_symmetry_Int_Tables_number 31
loop_
_symmetry_equiv_pos_as_xyz
'x,y,z'
'-x+1/2,-y,z+1/2'
'-x,y,z'
'x+1/2,-y,z+1/2'
loop_
_atom_site_label
_atom_site_fract_x
_atom_site_fract_y
_atom_site_fract_z
Y1 0.0000 0.1260 0.0000
Er1 0.0000 0.8742 0.5000
Er2 0.2499 0.1261 0.3345
Tm1 0.0000 0.3761 0.5006
Tm2 0.0000 0.6244 0.9992
Tm3 0.2489 0.6239 0.3325
```